(1)
Computed, not measured: crystalline Pm4MgTl2 at its relaxed geometry at the PBE level of DFT.

```
Pm4MgTl2
1.0
-5.9366 5.4091 0.5679
-2.2678 -1.8771 -5.8282
-1.2581 -8.7182 3.2975
Pm Tl Mg
8 4 2
Direct
0.9706 0.7500 0.4887
0.4506 0.9942 0.7800
0.0632 0.7500 0.8920
0.4506 0.5058 0.7800
0.5494 0.0058 0.2200
0.5494 0.4942 0.2200
0.0294 0.2500 0.5113
0.9368 0.2500 0.1080
0.8106 0.7500 0.0895
0.3646 0.2500 0.4255
0.6354 0.7500 0.5745
0.1894 0.2500 0.9105
0.2343 0.7500 0.3094
0.7657 0.2500 0.6906
```

Summary:
- raw total energy (eV/atom) = -3.724
- N(E_F) (states/eV/cell) = 17.25
- calculated formation energy (meV per atom) = -106
- SG = No. 11
- E above lowest polymorph (eV per atom) = 0.0872
- total magnetization (μB per atom) = 0.00

---

(2)
Computed, not measured: crystalline HoLuOs at its relaxed geometry at the PBE level of DFT.

```
HoLuOs
1.0
4.7222 0.0000 0.0000
2.3611 4.0895 0.0000
2.3611 1.3632 3.8556
Lu Ho Os
1 1 1
Direct
0.0000 0.0000 0.0000
0.5000 0.5000 0.5000
0.2500 0.2500 0.2500
```

Summary:
- raw total energy (eV/atom) = -7.041
- N(E_F) (states/eV/cell) = 0.69
- calculated formation energy (meV per atom) = -264
- SG = No. 216
- E above lowest polymorph (eV per atom) = 0.0334
- total magnetization (μB per atom) = 0.00

---

(3)
Computed, not measured: crystalline Ba2PdS2 at its relaxed geometry at the PBE level of DFT.

```
Ba2PdS2
1.0
6.0196 0.0000 0.0000
0.0000 6.0196 0.0000
3.0098 3.0098 5.1080
Ba S Pd
2 2 1
Direct
0.3046 0.3046 0.3908
0.6954 0.6954 0.6092
0.2500 0.7500 0.5000
0.7500 0.2500 0.5000
0.0000 0.0000 0.0000
```

Summary:
- raw total energy (eV/atom) = -4.229
- N(E_F) (states/eV/cell) = 0.34
- SG = No. 139
- E above lowest polymorph (eV per atom) = 0.2517
- total magnetization (μB per atom) = 0.00